[1]
Compound: Ti2PF
Source: Alexandria via LeMat-Bulk
Functional: PBEsol
Structure: optimized geometry

Properties
Uncorrected formation energy ... -92.31 kJ/mol of atoms
E ... -7.0475 eV per atom

Cell: 4.6069 4.6069 12.0421 Å, 90.00 90.00 90.00°
Space group I-42d (No. 122)
One atom of each set of equivalent atoms:
Ti 0.1886 0.2500 0.1250 [8 per cell]
P 0.0000 0.0000 0.5000 [4 per cell]
F 0.0000 0.0000 0.0000 [4 per cell]

[2]
Compound: La2AlTl
Source: Alexandria via LeMat-Bulk
Functional: PBEsol
Structure: optimized geometry

Properties
DFT formation energy ... -391 meV per atom
E ... -4.7449 eV per atom

Cell: 4.2686 4.8877 5.2042 Å, 90.00 90.00 90.00°
Space group Pmm2 (No. 25)
One atom of each set of equivalent atoms:
La 0.0000 0.0000 0.0000 [1 per cell]
La 0.0000 0.5000 0.4015 [1 per cell]
Al 0.5000 0.0000 0.5117 [1 per cell]
Tl 0.5000 0.5000 0.8812 [1 per cell]

[3]
Compound: LiCd3Hg
Source: Alexandria via LeMat-Bulk
Functional: PBEsol
Structure: optimized geometry

Properties
DFT formation energy ... 244 meV per atom
E ... -0.9807 eV per atom

Cell: 4.9043 4.9043 4.9043 Å, 90.00 90.00 90.00°
Space group Pm-3m (No. 221)
One atom of each set of equivalent atoms:
Li 0.0000 0.0000 0.0000 [1 per cell]
Cd 0.0000 0.0000 0.5000 [3 per cell]
Hg 0.5000 0.5000 0.5000 [1 per cell]

[4]
Compound: BeTlMo2
Source: Alexandria via LeMat-Bulk
Functional: PBEsol
Structure: optimized geometry

Properties
DFT formation energy ... 519 meV per atom
E ... -7.0226 eV per atom
Distance to the lowest polymorph of the same formula ... 0 meV per atom

Cell: 3.2345 4.6954 8.4157 Å, 90.00 90.00 90.00°
Space group Cmm2 (No. 35)
One atom of each set of equivalent atoms:
Be 0.0000 0.0000 0.0000 [2 per cell]
Tl 0.0000 0.5000 0.2556 [2 per cell]
Mo 0.0000 0.0000 0.5495 [2 per cell]
Mo 0.0000 0.5000 0.7901 [2 per cell]

[5]
Compound: KPbW3
Source: Alexandria via LeMat-Bulk
Functional: PBEsol
Structure: optimized geometry

Properties
DFT formation energy ... 3279 meV per atom
E ... -6.0322 eV per atom
Distance to the lowest polymorph of the same formula ... 0 meV per atom

Cell: 5.0971 5.0971 5.0971 Å, 90.00 90.00 90.00°
Space group Pm-3m (No. 221)
One atom of each set of equivalent atoms:
K 0.0000 0.0000 0.0000 [1 per cell]
Pb 0.5000 0.5000 0.5000 [1 per cell]
W 0.0000 0.5000 0.5000 [3 per cell]

[6]
Compound: Na6CrN4
Source: Alexandria via LeMat-Bulk
Functional: PBEsol
Structure: optimized geometry

Properties
Uncorrected formation energy ... -19.46 kJ/mol of atoms
E ... -4.9969 eV per atom

Cell: 7.2514 7.2514 5.7237 Å, 90.00 90.00 90.00°
Space group P4_2/nmc (No. 137, origin choice 2)
One atom of each set of equivalent atoms:
Na 0.0435 0.5435 0.2500 [8 per cell]
Na 0.2500 0.2500 0.0974 [4 per cell]
Cr 0.2500 0.7500 0.7500 [2 per cell]
N 0.0439 0.7500 0.5823 [8 per cell]